Crystalline Sr2MnNi at its relaxed geometry. Source: Alexandria via LeMat-Bulk, functional PBE-GGA.

DFT formation energy   0.2950 eV/atom
Space group   No. 99
Total DFT energy (no corrections)   -4.284 eV per atom

Cell lengths 3.5402, 3.5402, 8.8331 Å; angles 90.00, 90.00, 90.00 degrees
Closest atoms and distances in Å follow each position.
Positions (direct):
Sr1 0.0000 0.0000 0.9220  1 Mn 2.98
Sr2 0.5000 0.5000 0.3259  1 Ni 3.02
Ni1 0.5000 0.5000 0.6674  4 Mn 2.61
Mn1 0.0000 0.0000 0.5848  4 Ni 2.61